Computed, not measured: an optimized crystal structure of Ba8SiAg3I4 at the PBE-GGA level of DFT.

Cell and atoms, written as CIF:
```
data_Ba8SiAg3I4
_chemical_formula_sum 'Ba24 Si3 Ag9 I12'
_space_group_name_H-M_alt 'R -3 m'
_space_group_IT_number 166
_space_group_name_Hall '-R 3 2"'
_cell_length_a 9.6692
_cell_length_b 9.6692
_cell_length_c 26.3686
_cell_angle_alpha 90.00
_cell_angle_beta 90.00
_cell_angle_gamma 120.00
loop_
_atom_site_label
_atom_site_fract_x
_atom_site_fract_y
_atom_site_fract_z
Ba1 0.0000 0.0000 0.2399
Ba2 0.0096 0.5048 0.2375
Si1 0.0000 0.0000 0.5000
Ag1 0.0000 0.5000 0.5000
I1 0.0000 0.0000 0.0000
I2 0.0000 0.5000 0.0000
```

Properties
E_form (uncorrected) = -807 meV/atom


Computed, not measured: an optimized crystal structure of Ba2AgSnI at the PBE-GGA level of DFT.

Cell and atoms, written as CIF:
```
data_Ba2AgSnI
_chemical_formula_sum 'Ba2 Ag1 Sn1 I1'
_space_group_name_H-M_alt 'P 4/m m m'
_space_group_IT_number 123
_space_group_name_Hall '-P 4 2'
_cell_length_a 6.741
_cell_length_b 6.741
_cell_length_c 5.195
_cell_angle_alpha 90.00
_cell_angle_beta 90.00
_cell_angle_gamma 90.00
loop_
_atom_site_label
_atom_site_fract_x
_atom_site_fract_y
_atom_site_fract_z
Ba1 0.000 0.500 0.000
Ag1 0.000 0.000 0.500
Sn1 0.000 0.000 0.000
I1 0.500 0.500 0.500
```

Properties
E_form (uncorrected) = -580 meV/atom


Computed, not measured: an optimized crystal structure of BaTbAgI6 at the PBE-GGA level of DFT.

Cell and atoms, written as CIF:
```
data_BaTbAgI6
_chemical_formula_sum 'Ba2 Tb2 Ag2 I12'
_space_group_name_H-M_alt 'P -3 1 c'
_space_group_IT_number 163
_space_group_name_Hall '-P 3 2c'
_cell_length_a 7.8913
_cell_length_b 7.8913
_cell_length_c 15.0952
_cell_angle_alpha 90.00
_cell_angle_beta 90.00
_cell_angle_gamma 120.00
loop_
_atom_site_label
_atom_site_fract_x
_atom_site_fract_y
_atom_site_fract_z
Ba1 0.0000 0.0000 0.0000
Tb1 0.3333 0.6667 0.2500
Ag1 0.3333 0.6667 0.7500
I1 0.0030 0.3637 0.1338
```

Properties
E_form (uncorrected) = -1222 meV/atom


Computed, not measured: an optimized crystal structure of BaAgTeI at the PBE-GGA level of DFT.

Cell and atoms, written as CIF:
```
data_BaAgTeI
_chemical_formula_sum 'Ba6 Ag6 Te6 I6'
_space_group_name_H-M_alt 'R -3 m'
_space_group_IT_number 166
_space_group_name_Hall '-R 3 2"'
_cell_length_a 4.9103
_cell_length_b 4.9103
_cell_length_c 47.0088
_cell_angle_alpha 90.00
_cell_angle_beta 90.00
_cell_angle_gamma 120.00
loop_
_atom_site_label
_atom_site_fract_x
_atom_site_fract_y
_atom_site_fract_z
Ba1 0.0000 0.0000 0.0834
Ag1 0.0000 0.0000 0.3090
Te1 0.0000 0.0000 0.3723
I1 0.0000 0.0000 0.2084
```

Properties
E_form (uncorrected) = -1123 meV/atom


Computed, not measured: an optimized crystal structure of BaThAg2I8 at the PBE-GGA level of DFT.

Cell and atoms, written as CIF:
```
data_BaThAg2I8
_chemical_formula_sum 'Ba1 Th1 Ag2 I8'
_space_group_name_H-M_alt 'P -1'
_space_group_IT_number 2
_cell_length_a 7.682
_cell_length_b 8.097
_cell_length_c 9.964
_cell_angle_alpha 70.92
_cell_angle_beta 89.82
_cell_angle_gamma 79.65
loop_
_space_group_symop_operation_xyz
'x,y,z'
'-x,-y,-z'
loop_
_atom_site_label
_atom_site_fract_x
_atom_site_fract_y
_atom_site_fract_z
Ba1 0.000 0.000 0.000
Th1 0.000 0.000 0.500
Ag1 0.477 0.349 0.177
I1 0.112 0.250 0.213
I2 0.124 0.226 0.662
I3 0.368 0.761 0.546
I4 0.418 0.736 0.068
```

Properties
E_form (uncorrected) = -1012 meV/atom


Computed, not measured: an optimized crystal structure of BaTl2AgI5 at the PBE-GGA level of DFT.

Cell and atoms, written as CIF:
```
data_BaTl2AgI5
_chemical_formula_sum 'Ba4 Tl8 Ag4 I20'
_space_group_name_H-M_alt 'C m c 21'
_space_group_IT_number 36
_cell_length_a 4.885
_cell_length_b 21.117
_cell_length_c 15.098
_cell_angle_alpha 90.00
_cell_angle_beta 90.00
_cell_angle_gamma 90.00
loop_
_space_group_symop_operation_xyz
'x,y,z'
'-x,-y,z+1/2'
'-x,y,z'
'x,-y,z+1/2'
'x+1/2,y+1/2,z'
'-x+1/2,-y+1/2,z+1/2'
'-x+1/2,y+1/2,z'
'x+1/2,-y+1/2,z+1/2'
loop_
_atom_site_label
_atom_site_fract_x
_atom_site_fract_y
_atom_site_fract_z
Ba1 0.000 0.193 0.000
Tl1 0.000 0.104 0.644
Tl2 0.000 0.112 0.311
Ag1 0.000 0.444 0.388
I1 0.000 0.028 0.982
I2 0.000 0.294 0.659
I3 0.000 0.311 0.338
I4 0.000 0.356 0.982
I5 0.000 0.493 0.723
```

Properties
E_form (uncorrected) = -928 meV/atom


Computed, not measured: an optimized crystal structure of Ba4TlAgI2 at the PBE-GGA level of DFT.

Cell and atoms, written as CIF:
```
data_Ba4TlAgI2
_chemical_formula_sum 'Ba4 Tl1 Ag1 I2'
_space_group_name_H-M_alt 'P 1 2/m 1'
_space_group_IT_number 10
_cell_length_a 8.517
_cell_length_b 4.784
_cell_length_c 9.421
_cell_angle_alpha 90.00
_cell_angle_beta 106.87
_cell_angle_gamma 90.00
loop_
_space_group_symop_operation_xyz
'x,y,z'
'-x,-y,-z'
'-x,y,-z'
'x,-y,z'
loop_
_atom_site_label
_atom_site_fract_x
_atom_site_fract_y
_atom_site_fract_z
Ba1 0.241 0.000 0.220
Ba2 0.252 0.500 0.771
Tl1 0.500 0.000 0.000
Ag1 0.000 0.500 0.000
I1 0.000 0.000 0.500
I2 0.500 0.500 0.500
```

Properties
E_form (uncorrected) = -818 meV/atom


Computed, not measured: an optimized crystal structure of BaUAg2I8 at the PBE-GGA level of DFT.

Cell and atoms, written as CIF:
```
data_BaUAg2I8
_chemical_formula_sum 'Ba1 U1 Ag2 I8'
_space_group_name_H-M_alt 'P -1'
_space_group_IT_number 2
_cell_length_a 7.629
_cell_length_b 8.068
_cell_length_c 9.845
_cell_angle_alpha 70.92
_cell_angle_beta 89.99
_cell_angle_gamma 79.63
loop_
_space_group_symop_operation_xyz
'x,y,z'
'-x,-y,-z'
loop_
_atom_site_label
_atom_site_fract_x
_atom_site_fract_y
_atom_site_fract_z
Ba1 0.000 0.000 0.000
U1 0.000 0.000 0.500
Ag1 0.468 0.348 0.176
I1 0.107 0.252 0.214
I2 0.125 0.225 0.657
I3 0.362 0.766 0.545
I4 0.421 0.735 0.072
```

Properties
E_form (uncorrected) = -845 meV/atom